# 1
Er2ThSc12: relaxed, PBE.

Properties
- magnetization (μB/cell) = 0.0
- formation enthalpy at 0 K (eV per atom) = 0.3058

Cell: 5.9489 5.9489 23.1396 Å, 90.00 90.00 90.00°
Closest atoms and distances in Å follow each position.
Sites, in units of the cell vectors:
Er 0.2500 0.7500 0.2210  8 Sc 3.31-3.32
Er 0.2500 0.7500 0.7790  8 Sc 3.31-3.32
Er 0.7500 0.2500 0.2210  8 Sc 3.31-3.32
Er 0.7500 0.2500 0.7790  8 Sc 3.31-3.32
Th 0.2500 0.7500 0.5000  4 Sc 3.15
Th 0.7500 0.2500 0.5000  4 Sc 3.15
Sc 0.0661 0.5661 0.3816  7 Sc 3.08-3.15, 1 Th 3.15
Sc 0.0661 0.9339 0.6184  7 Sc 3.08-3.15, 1 Th 3.15
Sc 0.0816 0.5816 0.0602  8 Sc 2.83-3.15
Sc 0.0816 0.9184 0.9398  8 Sc 2.83-3.15
Sc 0.2500 0.2500 0.1570  5 Sc 2.92-3.15
Sc 0.2500 0.2500 0.2833  5 Sc 2.92-3.15
Sc 0.2500 0.2500 0.7167  5 Sc 2.92-3.15
Sc 0.2500 0.2500 0.8430  5 Sc 2.92-3.15
Sc 0.4184 0.5816 0.9398  8 Sc 2.83-3.15
Sc 0.4184 0.9184 0.0602  8 Sc 2.83-3.15
Sc 0.4339 0.5661 0.6184  7 Sc 3.08-3.15, 1 Th 3.15
Sc 0.4339 0.9339 0.3816  7 Sc 3.08-3.15, 1 Th 3.15
Sc 0.5661 0.0661 0.6184  7 Sc 3.08-3.15, 1 Th 3.15
Sc 0.5661 0.4339 0.3816  7 Sc 3.08-3.15, 1 Th 3.15
Sc 0.5816 0.0816 0.9398  8 Sc 2.83-3.15
Sc 0.5816 0.4184 0.0602  8 Sc 2.83-3.15
Sc 0.7500 0.7500 0.1570  5 Sc 2.92-3.15
Sc 0.7500 0.7500 0.2833  5 Sc 2.92-3.15
Sc 0.7500 0.7500 0.7167  5 Sc 2.92-3.15
Sc 0.7500 0.7500 0.8430  5 Sc 2.92-3.15
Sc 0.9184 0.0816 0.0602  8 Sc 2.83-3.15
Sc 0.9184 0.4184 0.9398  8 Sc 2.83-3.15
Sc 0.9339 0.0661 0.3816  7 Sc 3.08-3.15, 1 Th 3.15
Sc 0.9339 0.4339 0.6184  7 Sc 3.08-3.15, 1 Th 3.15

=====

# 2
Er5Th2Sc4: relaxed, PBE.

Properties
- magnetization (μB/cell) = 0.0
- distance to the lowest polymorph of the same formula (eV per atom) = 0.2584
- formation enthalpy at 0 K (eV per atom) = 0.4087

Cell: 14.3725 14.3725 14.3725 Å, 166.51 151.40 31.74°
Closest atoms and distances in Å follow each position.
Sites, in units of the cell vectors:
Er 0.0000 0.0000 0.0000  4 Sc 2.88
Er 0.0636 0.3046 0.7590  1 Th 3.18, 5 Er 3.38-3.46
Er 0.4544 0.6954 0.7590  1 Th 3.18, 5 Er 3.38-3.46
Er 0.5456 0.3046 0.2410  1 Th 3.18, 5 Er 3.38-3.46
Er 0.9364 0.6954 0.2410  1 Th 3.18, 5 Er 3.38-3.46
Th 0.1014 0.6014 0.5000  4 Er 3.18-3.27, 2 Th 3.38
Th 0.8986 0.3986 0.5000  4 Er 3.18-3.27, 2 Th 3.38
Sc 0.3279 0.5000 0.8279  1 Sc 2.44
Sc 0.4018 0.9018 0.5000  6 Sc 3.38-3.42, 4 Er 3.60
Sc 0.5982 0.0982 0.5000  6 Sc 3.38-3.42, 4 Er 3.60
Sc 0.6721 0.5000 0.1721  1 Sc 2.44

=====

# 3
Er12Th5Sc: relaxed, PBE.

Properties
- magnetization (μB/cell) = 0.0
- formation enthalpy at 0 K (eV per atom) = 0.0070

Cell: 6.1242 6.1242 17.1552 Å, 93.40 93.40 120.00°
Closest atoms and distances in Å follow each position.
Sites, in units of the cell vectors:
Er 0.0551 0.7227 0.6660  1 Sc 3.48, 2 Th 3.49, 9 Er 3.53-3.54
Er 0.1123 0.4458 0.8357  3 Th 3.46-3.47, 9 Er 3.53-3.54
Er 0.2210 0.2210 0.1640  3 Th 3.46, 9 Er 3.53-3.55
Er 0.2773 0.9449 0.3340  1 Sc 3.48, 2 Th 3.49, 9 Er 3.53-3.54
Er 0.3876 0.3876 0.6660  1 Sc 3.48, 2 Th 3.49, 9 Er 3.53-3.55
Er 0.4458 0.1123 0.8357  3 Th 3.46-3.47, 9 Er 3.53-3.54
Er 0.5542 0.8877 0.1643  3 Th 3.46-3.47, 9 Er 3.53-3.54
Er 0.6124 0.6124 0.3340  1 Sc 3.48, 2 Th 3.49, 9 Er 3.53-3.55
Er 0.7227 0.0551 0.6660  1 Sc 3.48, 2 Th 3.49, 9 Er 3.53-3.54
Er 0.7790 0.7790 0.8360  3 Th 3.46, 9 Er 3.53-3.55
Er 0.8877 0.5542 0.1643  3 Th 3.46-3.47, 9 Er 3.53-3.54
Er 0.9449 0.2773 0.3340  1 Sc 3.48, 2 Th 3.49, 9 Er 3.53-3.54
Th 0.1666 0.8334 0.0000  6 Er 3.46-3.47, 6 Th 3.53-3.54
Th 0.3334 0.6666 0.5000  6 Er 3.49, 3 Th 3.54, 3 Sc 3.54
Th 0.5000 0.5000 0.0000  6 Er 3.46, 6 Th 3.54
Th 0.6666 0.3334 0.5000  6 Er 3.49, 3 Th 3.54, 3 Sc 3.54
Th 0.8334 0.1666 0.0000  6 Er 3.46-3.47, 6 Th 3.53-3.54
Sc 0.0000 0.0000 0.5000  6 Er 3.48, 6 Th 3.54

=====

# 4
Er4ThSc5: relaxed, PBE.

Properties
- magnetization (μB/cell) = 0.0
- distance to the lowest polymorph of the same formula (eV per atom) = 0.0000
- formation enthalpy at 0 K (eV per atom) = 0.2144

Cell: 8.1410 8.1410 10.7893 Å, 91.01 91.01 24.11°
Closest atoms and distances in Å follow each position.
Sites, in units of the cell vectors:
Er 0.0321 0.0321 0.2438  4 Sc 3.17-3.21, 2 Th 3.29, 4 Er 3.40-3.48
Er 0.3415 0.3415 0.2539  4 Er 3.40-3.48, 7 Sc 3.50-3.76, 1 Th 3.63
Er 0.6585 0.6585 0.7461  4 Er 3.40-3.48, 7 Sc 3.50-3.76, 1 Th 3.63
Er 0.9679 0.9679 0.7562  4 Sc 3.17-3.21, 2 Th 3.29, 4 Er 3.40-3.48
Th 0.5000 0.5000 0.5000  4 Sc 3.28, 6 Er 3.29-3.63, 2 Th 3.40
Sc 0.1723 0.1723 0.0340  6 Sc 3.10-3.40, 1 Er 3.21
Sc 0.1733 0.1733 0.4585  4 Sc 3.09-3.40, 1 Er 3.20, 2 Th 3.28
Sc 0.5000 0.5000 0.0000  4 Er 3.17, 6 Sc 3.24-3.40
Sc 0.8267 0.8267 0.5415  4 Sc 3.09-3.40, 1 Er 3.20, 2 Th 3.28
Sc 0.8277 0.8277 0.9660  6 Sc 3.10-3.40, 1 Er 3.21

=====

- Among the records above, which one has the highest formation enthalpy at 0 K?
  Er5Th2Sc4

=====

- Among the records above, which one has the highest formation enthalpy at 0 K?
  Er5Th2Sc4

=====

Please write out number 4 again, unchanged.
Er4ThSc5: relaxed, PBE.

Properties
- magnetization (μB/cell) = 0.0
- distance to the lowest polymorph of the same formula (eV per atom) = 0.0000
- formation enthalpy at 0 K (eV per atom) = 0.2144

Cell: 8.1410 8.1410 10.7893 Å, 91.01 91.01 24.11°
Closest atoms and distances in Å follow each position.
Sites, in units of the cell vectors:
Er 0.0321 0.0321 0.2438  4 Sc 3.17-3.21, 2 Th 3.29, 4 Er 3.40-3.48
Er 0.3415 0.3415 0.2539  4 Er 3.40-3.48, 7 Sc 3.50-3.76, 1 Th 3.63
Er 0.6585 0.6585 0.7461  4 Er 3.40-3.48, 7 Sc 3.50-3.76, 1 Th 3.63
Er 0.9679 0.9679 0.7562  4 Sc 3.17-3.21, 2 Th 3.29, 4 Er 3.40-3.48
Th 0.5000 0.5000 0.5000  4 Sc 3.28, 6 Er 3.29-3.63, 2 Th 3.40
Sc 0.1723 0.1723 0.0340  6 Sc 3.10-3.40, 1 Er 3.21
Sc 0.1733 0.1733 0.4585  4 Sc 3.09-3.40, 1 Er 3.20, 2 Th 3.28
Sc 0.5000 0.5000 0.0000  4 Er 3.17, 6 Sc 3.24-3.40
Sc 0.8267 0.8267 0.5415  4 Sc 3.09-3.40, 1 Er 3.20, 2 Th 3.28
Sc 0.8277 0.8277 0.9660  6 Sc 3.10-3.40, 1 Er 3.21

=====

- Among the records above, which one has the highest formation enthalpy at 0 K?
  Er5Th2Sc4